*i*
VASP calculation (PBE) on a relaxed structure of AgGeTeI2.

Values from the calculation:
As for the size of the total moment: 0.00 μB/f.u. As for the volume: 34.43 A^3/atom. The value obtained for the density of states at the Fermi level is 0.52 states/eV/atom.

a b c (Å): 5.533 5.533 5.623
angles (deg): 90.00 90.00 90.00
Fractional positions:
I (0.000, 0.500, 0.000)
I (0.500, 0.000, 0.000)
Ge (0.500, 0.500, 0.500)
Te (0.000, 0.000, 0.500)
Ag (0.000, 0.000, 0.000)

*ii*
VASP calculation (PBE) on a relaxed structure of AgGeTeI2.

Values from the calculation:
As for the size of the total moment: 0.00 μB/f.u. As for the volume: 36.29 A^3/atom. The value obtained for the density of states at the Fermi level is 0.90 states/eV/atom.

a b c (Å): 5.731 5.731 5.524
angles (deg): 90.00 90.00 90.00
Fractional positions:
I (0.000, 0.500, 0.000)
I (0.500, 0.000, 0.000)
Ge (0.000, 0.000, 0.000)
Te (0.000, 0.000, 0.500)
Ag (0.500, 0.500, 0.500)

Calculated relative energies: *i* 145; *ii* 0, given in meV per atom

*i*
VASP calculation (PBE) on a relaxed structure of InAg2Ge2.

Values from the calculation:
As for the size of the total moment: 0.00 μB/f.u. As for the volume: 20.60 A^3/atom. The value obtained for the density of states at the Fermi level is 0.37 states/eV/atom.

a b c (Å): 8.408 8.408 2.914
angles (deg): 90.00 90.00 90.00
Fractional positions:
Ge (0.380, 0.880, 0.000)
Ge (0.880, 0.620, 0.000)
Ge (0.620, 0.120, 0.000)
Ge (0.120, 0.380, 0.000)
Ag (0.175, 0.675, 0.500)
Ag (0.675, 0.825, 0.500)
Ag (0.825, 0.325, 0.500)
Ag (0.325, 0.175, 0.500)
In (0.000, 0.000, 0.000)
In (0.500, 0.500, 0.000)

*ii*
VASP calculation (PBE) on a relaxed structure of InAg2Ge2.

Values from the calculation:
As for the size of the total moment: 0.00 μB/f.u. As for the volume: 21.30 A^3/atom. The value obtained for the density of states at the Fermi level is 0.38 states/eV/atom.

a b c (Å): 4.211 4.211 6.704
angles (deg): 71.70 71.70 90.00
Fractional positions:
Ge (0.393, 0.393, 0.214)
Ge (0.607, 0.607, 0.786)
Ag (0.750, 0.250, 0.500)
Ag (0.250, 0.750, 0.500)
In (0.000, 0.000, 0.000)

Calculated relative energies: *i* 0; *ii* 7, given in meV per atom

*i*
VASP calculation (PBE) on a relaxed structure of AgGe2Ir2.

Values from the calculation:
As for the size of the total moment: 0.00 μB/f.u. As for the volume: 17.17 A^3/atom. The value obtained for the density of states at the Fermi level is 0.20 states/eV/atom.

a b c (Å): 3.879 3.879 6.330
angles (deg): 72.16 72.16 90.00
Fractional positions:
Ge (0.750, 0.250, 0.500)
Ge (0.250, 0.750, 0.500)
Ir (0.385, 0.385, 0.230)
Ir (0.615, 0.615, 0.770)
Ag (0.000, 0.000, 0.000)

*ii*
VASP calculation (PBE) on a relaxed structure of AgGe2Ir2.

Values from the calculation:
As for the size of the total moment: 0.00 μB/f.u. As for the volume: 15.83 A^3/atom. The value obtained for the density of states at the Fermi level is 0.36 states/eV/atom.

a b c (Å): 7.401 7.401 2.890
angles (deg): 90.00 90.00 90.00
Fractional positions:
Ge (0.154, 0.654, 0.500)
Ge (0.654, 0.846, 0.500)
Ge (0.846, 0.346, 0.500)
Ge (0.346, 0.154, 0.500)
Ir (0.358, 0.858, 0.000)
Ir (0.858, 0.642, 0.000)
Ir (0.642, 0.142, 0.000)
Ir (0.142, 0.358, 0.000)
Ag (0.000, 0.000, 0.000)
Ag (0.500, 0.500, 0.000)

Calculated relative energies: *i* 31; *ii* 0, given in meV per atom

*i*
VASP calculation (PBE) on a relaxed structure of KAg2Ge2.

Values from the calculation:
As for the size of the total moment: 0.00 μB/f.u. As for the volume: 21.60 A^3/atom. The value obtained for the density of states at the Fermi level is 0.37 states/eV/atom.

a b c (Å): 8.608 8.608 2.916
angles (deg): 90.00 90.00 90.00
Fractional positions:
Ge (0.360, 0.860, 0.000)
Ge (0.860, 0.640, 0.000)
Ge (0.640, 0.140, 0.000)
Ge (0.140, 0.360, 0.000)
K (0.000, 0.000, 0.000)
K (0.500, 0.500, 0.000)
Ag (0.149, 0.649, 0.500)
Ag (0.649, 0.851, 0.500)
Ag (0.851, 0.351, 0.500)
Ag (0.351, 0.149, 0.500)

*ii*
VASP calculation (PBE) on a relaxed structure of KAg2Ge2.

Values from the calculation:
As for the size of the total moment: 0.00 μB/f.u. As for the volume: 23.02 A^3/atom. The value obtained for the density of states at the Fermi level is 0.47 states/eV/atom.

a b c (Å): 4.743 4.743 6.119
angles (deg): 67.20 67.20 90.00
Fractional positions:
Ge (0.379, 0.379, 0.242)
Ge (0.621, 0.621, 0.758)
K (0.000, 0.000, 0.000)
Ag (0.750, 0.250, 0.500)
Ag (0.250, 0.750, 0.500)

Calculated relative energies: *i* 102; *ii* 0, given in meV per atom